A relaxed structure of CaMn2Pt. Source: the Alexandria database, functional GGA-PBE.

Geometry as POSCAR:
```
CaMn2Pt
1.0
5.345 -0.020 -0.402
2.292 4.828 0.402
-3.339 -3.166 2.749
Mn Pt Ca
2 1 1
Direct
0.005 0.005 0.000
0.280 0.780 0.500
0.482 0.482 0.000
0.733 0.233 0.500
```

Summary:
formation energy	0.07	eV/atom
space group	Imm2 (44)